[1]
Below is a geometry-optimized Tl2VC2O6 structure, with properties calculated at the PBE+U level.

Cell lengths 5.2423, 5.2423, 7.7556 Å; angles 109.63, 109.63, 60.06 degrees
With the nearest neighbours (Å) after each atom.
Fractional positions:
Tl 0.2183 0.2183 0.1559  6 O 2.86-2.87
Tl 0.7817 0.7817 0.8441  6 O 2.86-2.87
V 0.0000 0.0000 0.5000  6 O 2.18
C 0.3939 0.3939 0.6792  3 O 1.30
C 0.6061 0.6061 0.3208  3 O 1.30
O 0.2522 0.2522 0.6831  1 C 1.30
O 0.2534 0.6818 0.6856  1 C 1.30
O 0.3182 0.7466 0.3144  1 C 1.30
O 0.6818 0.2534 0.6856  1 C 1.30
O 0.7466 0.3182 0.3144  1 C 1.30
O 0.7478 0.7478 0.3169  1 C 1.30

- V (Å³/cell) = 170.2
- VASP energy (eV/atom) = -6.82



[2]
Below is a geometry-optimized TlVC2O6 structure, with properties calculated at the PBE+U level.

Cell lengths 6.9089, 6.9089, 6.9089 Å; angles 42.47, 42.47, 42.47 degrees
With the nearest neighbours (Å) after each atom.
Fractional positions:
Tl 0.0000 0.0000 0.0000  6 O 2.93
V 0.5000 0.5000 0.5000  6 O 2.05
C 0.2270 0.2270 0.2270  3 O 1.29
C 0.7730 0.7730 0.7730  3 O 1.29
O 0.0593 0.6929 0.5600  1 C 1.29
O 0.3071 0.4400 0.9407  1 C 1.29
O 0.4400 0.9407 0.3071  1 C 1.29
O 0.5600 0.0593 0.6929  1 C 1.29
O 0.6929 0.5600 0.0593  1 C 1.29
O 0.9407 0.3071 0.4400  1 C 1.29

- V (Å³/cell) = 136.1
- VASP energy (eV/atom) = -7.25